The following is a PBE calculation of an optimized crystal structure of Mg2ZnHg, from Alexandria.

## Properties
Space-group type: No. 99
DOS at the Fermi energy: 0.392 states/eV per atom
E_form: -2.7 kJ per mole of atoms
Total magnetic moment: 0.00 μB per cell
VASP energy: -4.88 eV for the cell shown
Excess energy over the best structure of this formula in the dataset: 0.49 eV/f.u.

Cell: 3.200 3.200 8.111 Å, 90.00 90.00 90.00°
Fractional positions:
Zn  0.000  0.000  0.497
Mg  0.500  0.500  0.275
Hg  0.500  0.500  0.738
Mg  0.000  0.000  0.990